# 1
An optimized crystal structure of ZnW4O6, computed with PBE with a Hubbard U.

abc: 5.5161 5.5161 16.8327
angles: 90.00 90.00 145.83
With the nearest neighbours (Å) after each atom.
Element x y z (fractional)
Zn: 0.1727 0.8273 0.7500  4 O 2.07-2.08
Zn: 0.8273 0.1727 0.2500  4 O 2.07-2.08
W: 0.1351 0.8649 0.1318  5 O 2.09-2.30
W: 0.1351 0.8649 0.3682  5 O 2.09-2.30
W: 0.3667 0.6333 0.0536  5 O 2.11-2.33
W: 0.3667 0.6333 0.4464  5 O 2.11-2.33
W: 0.6333 0.3667 0.5536  5 O 2.11-2.33
W: 0.6333 0.3667 0.9464  5 O 2.11-2.33
W: 0.8649 0.1351 0.6318  5 O 2.09-2.30
W: 0.8649 0.1351 0.8682  5 O 2.09-2.30
O: 0.0000 0.0000 0.0000  4 W 2.33
O: 0.0000 0.0000 0.5000  4 W 2.33
O: 0.2048 0.7952 0.2500  2 Zn 2.07, 2 W 2.12
O: 0.2106 0.7894 0.6290  1 Zn 2.08, 4 W 2.21-2.30
O: 0.2106 0.7894 0.8710  1 Zn 2.08, 4 W 2.21-2.30
O: 0.4899 0.5101 0.6413  3 W 2.09-2.11
O: 0.4899 0.5101 0.8587  3 W 2.09-2.11
O: 0.5101 0.4899 0.1413  3 W 2.09-2.11
O: 0.5101 0.4899 0.3587  3 W 2.09-2.11
O: 0.7894 0.2106 0.1290  1 Zn 2.08, 4 W 2.21-2.30
O: 0.7894 0.2106 0.3710  1 Zn 2.08, 4 W 2.21-2.30
O: 0.7952 0.2048 0.7500  2 Zn 2.07, 2 W 2.12

Results
- Mass density: 10.4 Mg/m³
- V: 287.6 Å³/cell
- Calculated total energy: -141.3 eV for the cell shown
- Symmetry: No. 63
- D(E_F): 3.03 states/eV/cell

=====

# 2
An optimized crystal structure of HfMg6WO8, computed with PBE with a Hubbard U.

abc: 4.4433 4.4433 8.8112
angles: 90.00 90.00 90.00
With the nearest neighbours (Å) after each atom.
Element x y z (fractional)
Hf: 0.0000 0.0000 0.0000  6 O 2.12-2.22
Mg: 0.0000 0.5000 0.2556  6 O 2.15-2.25
Mg: 0.0000 0.5000 0.7444  6 O 2.15-2.25
Mg: 0.5000 0.0000 0.2556  6 O 2.15-2.25
Mg: 0.5000 0.0000 0.7444  6 O 2.15-2.25
Mg: 0.5000 0.5000 0.0000  6 O 2.21-2.22
Mg: 0.5000 0.5000 0.5000  6 O 2.20-2.22
W: 0.0000 0.0000 0.5000  6 O 2.22-2.28
O: 0.0000 0.0000 0.2410  1 Hf 2.12, 4 Mg 2.23, 1 W 2.28
O: 0.0000 0.0000 0.7590  1 Hf 2.12, 4 Mg 2.23, 1 W 2.28
O: 0.0000 0.5000 0.0000  2 Hf 2.22, 4 Mg 2.22-2.25
O: 0.0000 0.5000 0.5000  4 Mg 2.15-2.22, 2 W 2.22
O: 0.5000 0.0000 0.0000  2 Hf 2.22, 4 Mg 2.22-2.25
O: 0.5000 0.0000 0.5000  4 Mg 2.15-2.22, 2 W 2.22
O: 0.5000 0.5000 0.2505  6 Mg 2.20-2.22
O: 0.5000 0.5000 0.7495  6 Mg 2.20-2.22

Results
- Mass density: 6.1 Mg/m³
- V: 174.0 Å³/cell
- Symmetry: No. 123
- ΔE to the lowest computed polymorph: 67 meV per atom
- D(E_F): 2.49 states/eV/cell